# Pr2Zn5Ga

Crystalline Pr2Zn5Ga at its relaxed geometry (PBE-GGA, Alexandria).

For the calculated formation energy, the calculation gives -0.4001 eV/atom. As for the space group: No. 63. Its magnetization is 0.0 μB per formula unit. The calculation puts the energy at -2.770 eV/atom.

Cell lengths 8.4955, 8.4955, 8.8944 Å; angles 90.00, 90.00, 149.30 degrees
With the nearest neighbours (Å) after each atom.
Atoms (fractional coordinates):
Pr: 0.0000 0.0000 0.0000  10 Zn 3.17-3.53, 4 Ga 3.30
Pr: 0.0000 0.0000 0.5000  10 Zn 3.17-3.53, 4 Ga 3.30
Pr: 0.2061 0.7939 0.7500  13 Zn 3.15-3.37, 2 Ga 3.31
Pr: 0.7939 0.2061 0.2500  13 Zn 3.15-3.37, 2 Ga 3.31
Zn: 0.1846 0.8154 0.1065  4 Zn 2.55-2.82
Zn: 0.1846 0.8154 0.3935  4 Zn 2.55-2.82
Zn: 0.3502 0.6498 0.0209  1 Ga 2.54, 4 Zn 2.57-2.82
Zn: 0.3502 0.6498 0.4791  1 Ga 2.54, 4 Zn 2.57-2.82
Zn: 0.4048 0.5952 0.7500  1 Ga 2.50, 2 Zn 2.57
Zn: 0.5952 0.4048 0.2500  1 Ga 2.50, 2 Zn 2.57
Zn: 0.6498 0.3502 0.5209  1 Ga 2.54, 4 Zn 2.57-2.82
Zn: 0.6498 0.3502 0.9791  1 Ga 2.54, 4 Zn 2.57-2.82
Zn: 0.8154 0.1846 0.6065  4 Zn 2.55-2.82
Zn: 0.8154 0.1846 0.8935  4 Zn 2.55-2.82
Ga: 0.4424 0.5576 0.2500  3 Zn 2.50-2.54
Ga: 0.5576 0.4424 0.7500  3 Zn 2.50-2.54